Here is a relaxed structure of Pm3PbO6 from Alexandria. Energies are from PBE-GGA.

**VASP energy**: -151.331 eV per cell
**Symmetry**: R-3 (148)
**Energy relative to the elements, uncorrected**: -2.796 eV per atom

Cell lengths 7.001, 7.001, 7.001 Å; angles 92.85, 92.85, 92.85 degrees
Element x y z (fractional)
Pm (0.440, 0.932, 0.747)
Pm (0.932, 0.747, 0.440)
Pm (0.253, 0.560, 0.068)
Pm (0.747, 0.440, 0.932)
Pm (0.068, 0.253, 0.560)
Pm (0.560, 0.068, 0.253)
Pb (0.000, 0.000, 0.000)
Pb (0.500, 0.500, 0.500)
O (0.337, 0.886, 0.063)
O (0.114, 0.937, 0.663)
O (0.593, 0.805, 0.470)
O (0.937, 0.663, 0.114)
O (0.470, 0.593, 0.805)
O (0.195, 0.530, 0.407)
O (0.805, 0.470, 0.593)
O (0.530, 0.407, 0.195)
O (0.063, 0.337, 0.886)
O (0.407, 0.195, 0.530)
O (0.886, 0.063, 0.337)
O (0.663, 0.114, 0.937)

Here is a relaxed structure of AcEu2Te from Alexandria. Energies are from PBE-GGA.

**VASP energy**: -30.472 eV per cell
**Symmetry**: P4/mmm (123)
**Energy relative to the elements, uncorrected**: -0.668 eV per atom

Cell lengths 4.096, 4.096, 8.883 Å; angles 90.00, 90.00, 90.00 degrees
Element x y z (fractional)
Eu (0.000, 0.000, 0.698)
Eu (0.000, 0.000, 0.302)
Ac (0.500, 0.500, 0.000)
Te (0.500, 0.500, 0.500)

Here is a relaxed structure of Ba2VBr6 from Alexandria. Energies are from PBE-GGA.

**VASP energy**: -77.242 eV per cell
**Symmetry**: P2_1/c (14)
**Energy relative to the elements, uncorrected**: -1.736 eV per atom

Cell lengths 7.148, 8.264, 10.230 Å; angles 90.00, 88.98, 90.00 degrees
Element x y z (fractional)
Ba (0.037, 0.605, 0.745)
Ba (0.463, 0.105, 0.755)
Ba (0.537, 0.895, 0.245)
Ba (0.963, 0.395, 0.255)
V (0.500, 0.500, 0.000)
V (0.000, 0.000, 0.500)
Br (0.095, 0.018, 0.251)
Br (0.160, 0.287, 0.549)
Br (0.189, 0.336, 0.953)
Br (0.311, 0.836, 0.547)
Br (0.340, 0.787, 0.951)
Br (0.405, 0.518, 0.249)
Br (0.905, 0.982, 0.749)
Br (0.840, 0.713, 0.451)
Br (0.811, 0.664, 0.047)
Br (0.689, 0.164, 0.453)
Br (0.660, 0.213, 0.049)
Br (0.595, 0.482, 0.751)

Here is a relaxed structure of SmAlHg2 from Alexandria. Energies are from PBE-GGA.

**Energy of formation from the pure elements**: -316 meV/atom
**VASP energy**: -10.330 eV per cell
**Symmetry**: R-3m (166)

Cell lengths 4.575, 4.575, 5.946 Å; angles 67.38, 67.38, 60.00 degrees
Element x y z (fractional)
Hg (0.273, 0.273, 0.181)
Hg (0.727, 0.727, 0.819)
Sm (0.500, 0.500, 0.500)
Al (0.000, 0.000, 0.000)

Here is a relaxed structure of EuSn2As from Alexandria. Energies are from PBE-GGA.

**Energy of formation from the pure elements**: -485 meV/atom
**VASP energy**: -24.868 eV per cell
**Symmetry**: P4/mmm (123)

Cell lengths 5.036, 4.498, 4.498 Å; angles 90.00, 90.00, 90.00 degrees
Element x y z (fractional)
Eu (0.500, 0.500, 0.500)
As (0.500, 0.000, 0.000)
Sn (0.000, 0.000, 0.500)
Sn (0.000, 0.500, 0.000)

Here is a relaxed structure of LiYBi2O5 from Alexandria. Energies are from PBE-GGA.

**VASP energy**: -116.382 eV per cell
**Symmetry**: Cmc2_1 (36)
**Energy relative to the elements, uncorrected**: -1.918 eV per atom

Cell lengths 3.444, 7.498, 10.718 Å; angles 90.00, 90.00, 103.28 degrees
Element x y z (fractional)
Li (0.502, 0.004, 0.995)
Li (0.498, 0.996, 0.495)
Y (0.794, 0.588, 0.487)
Y (0.206, 0.412, 0.987)
Bi (0.899, 0.797, 0.758)
Bi (0.138, 0.277, 0.686)
Bi (0.101, 0.203, 0.258)
Bi (0.862, 0.723, 0.186)
O (0.361, 0.722, 0.045)
O (0.698, 0.396, 0.852)
O (0.491, 0.981, 0.800)
O (0.284, 0.568, 0.636)
O (0.940, 0.880, 0.564)
O (0.639, 0.278, 0.545)
O (0.302, 0.604, 0.352)
O (0.509, 0.019, 0.300)
O (0.716, 0.432, 0.136)
O (0.060, 0.120, 0.064)